w) Si5Tc: optimized geometry, PBE.

Unit cell a=6.3662 b=6.3662 c=4.4137 alpha=90.00 beta=90.00 gamma=151.69
With the nearest neighbours (Å) after each atom.
Sites, in units of the cell vectors:
Si (0.3455, 0.6545, 0.0000)  6 Si 2.52-2.72
Si (0.4441, 0.5559, 0.5000)  2 Tc 2.51, 8 Si 2.52-2.81
Si (0.6648, 0.3352, 0.0000)  6 Si 2.50-2.72
Si (0.7688, 0.2312, 0.5000)  4 Si 2.55-2.67, 2 Tc 2.56
Tc (0.1037, 0.8963, 0.5000)  10 Si 2.51-2.80
Si (0.0065, 0.9935, 0.0000)  4 Si 2.50-2.53, 2 Tc 2.51

Summary:
Space group = Amm2, No. 38
Total moment = 0.00 μB/f.u.

---

x) Si5Tc: optimized geometry, PBE.

Unit cell a=6.1318 b=6.1318 c=3.3337 alpha=90.00 beta=90.00 gamma=138.40
With the nearest neighbours (Å) after each atom.
Sites, in units of the cell vectors:
Si (0.6829, 0.3171, 0.5000)  8 Si 2.56-2.77, 2 Tc 2.68
Si (0.3171, 0.6829, 0.5000)  8 Si 2.56-2.77, 2 Tc 2.68
Si (0.0000, 0.0000, 0.5000)  4 Si 2.37
Si (0.8527, 0.1473, 0.0000)  4 Si 2.37-2.56
Si (0.1473, 0.8527, 0.0000)  4 Si 2.37-2.56
Tc (0.5000, 0.5000, 0.0000)  12 Si 2.68-2.76

Summary:
Space group = Cmmm, No. 65
Total moment = 0.00 μB/f.u.

---

Most stable = w)

---

w) SiTcTe: optimized geometry, PBE.

Unit cell a=4.2855 b=4.2855 c=3.4842 alpha=90.00 beta=90.00 gamma=120.00
With the nearest neighbours (Å) after each atom.
Sites, in units of the cell vectors:
Te (0.3333, 0.6667, 0.6668)  6 Tc 3.03, 6 Si 3.03
Si (0.0000, 0.0000, 0.1666)  3 Tc 2.47
Tc (0.6667, 0.3333, 0.1666)  3 Si 2.47

Summary:
Space group = P-6m2, No. 187
Total moment = 0.00 μB/f.u.

---

x) SiTcTe: optimized geometry, PBE.

Unit cell a=7.0644 b=6.7909 c=3.0622 alpha=82.28 beta=72.28 gamma=25.44
With the nearest neighbours (Å) after each atom.
Sites, in units of the cell vectors:
Tc (0.3472, 0.3472, 0.6528)  2 Si 2.38
Si (0.9759, 0.9759, 0.0241)  2 Tc 2.38
Te (0.6769, 0.6769, 0.3231)  2 Tc 2.80, 4 Te 3.06, 2 Si 3.13

Summary:
Space group = Fmm2, No. 42
Total moment = 0.00 μB/f.u.

---

y) SiTcTe: optimized geometry, PBE.

Unit cell a=7.8871 b=6.4029 c=6.4029 alpha=151.52 beta=156.41 gamma=35.10
With the nearest neighbours (Å) after each atom.
Sites, in units of the cell vectors:
Tc (0.4645, 0.3687, 0.0958)  4 Si 2.44, 2 Te 2.69
Si (0.8887, 0.9448, 0.9439)  4 Tc 2.44
Te (0.6468, 0.6865, 0.9603)  2 Tc 2.69

Summary:
Space group = Cm, No. 8
Total moment = 0.00 μB/f.u.

---

Most stable = y)

---

w) SiTcTe: optimized geometry, PBE.

Unit cell a=3.3218 b=3.3218 c=5.7779 alpha=90.00 beta=90.00 gamma=120.00
With the nearest neighbours (Å) after each atom.
Sites, in units of the cell vectors:
Te (0.3333, 0.6667, 0.6484)  3 Tc 2.73, 3 Si 2.97
Si (0.0000, 0.0000, 0.0406)  3 Tc 2.47
Tc (0.6667, 0.3333, 0.3110)  3 Si 2.47, 3 Te 2.73

Summary:
Space group = P3m1, No. 156
Total moment = 0.00 μB/f.u.

---

x) SiTcTe: optimized geometry, PBE.

Unit cell a=4.3620 b=4.3620 c=4.3620 alpha=60.00 beta=60.00 gamma=60.00
With the nearest neighbours (Å) after each atom.
Sites, in units of the cell vectors:
Te (0.0000, 0.0000, 0.0000)  4 Tc 2.67
Si (0.5000, 0.5000, 0.5000)  4 Tc 2.67
Tc (0.7500, 0.7500, 0.7500)  4 Te 2.67, 4 Si 2.67

Summary:
Space group = F-43m, No. 216
Total moment = 0.00 μB/f.u.

---

Most stable = w)

---

w) Th2Si3Tc2: optimized geometry, PBE.

Unit cell a=4.2892 b=6.7781 c=9.4721 alpha=90.00 beta=103.09 gamma=90.00
With the nearest neighbours (Å) after each atom.
Sites, in units of the cell vectors:
Si (0.2161, 0.7500, 0.4322)  6 Tc 2.59-2.65
Tc (0.6908, 0.9524, 0.3817)  4 Si 2.52-2.65, 1 Tc 2.74
Tc (0.6908, 0.5476, 0.3817)  4 Si 2.52-2.65, 1 Tc 2.74
Si (0.4388, 0.5676, 0.8777)  2 Si 2.44-2.47, 1 Tc 2.52
Th (0.0505, 0.7500, 0.1010)  9 Si 3.05-3.22
Si (0.4388, 0.9324, 0.8777)  2 Si 2.44-2.47, 1 Tc 2.52
Th (0.9495, 0.2500, 0.8990)  9 Si 3.05-3.22
Th (0.1606, 0.2500, 0.3212)  6 Tc 3.00-3.07, 6 Si 3.08-3.13
Tc (0.3092, 0.4524, 0.6183)  4 Si 2.52-2.65, 1 Tc 2.74
Si (0.7839, 0.2500, 0.5678)  6 Tc 2.59-2.65
Si (0.5612, 0.4324, 0.1223)  2 Si 2.44-2.47, 1 Tc 2.52
Tc (0.3092, 0.0476, 0.6183)  4 Si 2.52-2.65, 1 Tc 2.74
Th (0.8394, 0.7500, 0.6788)  6 Tc 3.00-3.07, 6 Si 3.08-3.13
Si (0.5612, 0.0676, 0.1223)  2 Si 2.44-2.47, 1 Tc 2.52

Summary:
Space group = Cmcm, No. 63
Total moment = 0.00 μB/f.u.

---

x) Th2Si3Tc2: optimized geometry, PBE.

Unit cell a=4.0634 b=5.6215 c=7.0889 alpha=114.42 beta=90.00 gamma=111.19
With the nearest neighbours (Å) after each atom.
Sites, in units of the cell vectors:
Si (0.6438, 0.2876, 0.4344)  3 Tc 2.54-2.59, 1 Si 2.76
Si (0.3562, 0.7124, 0.5656)  3 Tc 2.54-2.59, 1 Si 2.76
Th (0.1416, 0.2831, 0.7604)  4 Tc 2.92-3.26, 3 Si 3.09-3.12
Tc (0.8717, 0.7435, 0.7893)  5 Si 2.53-2.59
Si (0.5000, 0.0000, 0.0000)  4 Tc 2.53, 2 Si 2.76
Tc (0.1283, 0.2565, 0.2107)  5 Si 2.53-2.59
Th (0.8584, 0.7169, 0.2396)  4 Tc 2.92-3.26, 3 Si 3.09-3.12

Summary:
Space group = C2/m, No. 12
Total moment = 0.00 μB/f.u.

---

Most stable = w)

---

w) Th2Si2Tc: optimized geometry, PBE.

Unit cell a=5.7074 b=5.7431 c=7.7499 alpha=100.13 beta=90.00 gamma=119.79
With the nearest neighbours (Å) after each atom.
Sites, in units of the cell vectors:
Th (0.7641, 0.3025, 0.6565)  6 Si 3.09-3.20, 2 Tc 3.19-3.41
Si (0.9958, 0.7706, 0.0060)  2 Tc 2.49-2.50, 1 Si 2.63
Th (0.5384, 0.3025, 0.1565)  6 Si 3.09-3.20, 2 Tc 3.19-3.41
Si (0.7748, 0.7706, 0.5060)  2 Tc 2.49-2.50, 1 Si 2.63
Si (0.0042, 0.2294, 0.9940)  2 Tc 2.49-2.50, 1 Si 2.63
Tc (0.8493, 0.0000, 0.2500)  4 Si 2.49-2.50
Tc (0.1507, 0.0000, 0.7500)  4 Si 2.49-2.50
Th (0.2359, 0.6975, 0.3435)  6 Si 3.09-3.20, 2 Tc 3.19-3.41
Th (0.4616, 0.6975, 0.8435)  6 Si 3.09-3.20, 2 Tc 3.19-3.41
Si (0.2252, 0.2294, 0.4940)  2 Tc 2.49-2.50, 1 Si 2.63

Summary:
Space group = C2/c, No. 15
Total moment = 0.00 μB/f.u.

---

x) Th2Si2Tc: optimized geometry, PBE.

Unit cell a=4.3088 b=5.8959 c=9.4106 alpha=86.33 beta=76.77 gamma=68.57
With the nearest neighbours (Å) after each atom.
Sites, in units of the cell vectors:
Tc (0.3472, 0.9283, 0.3773)  4 Si 2.47-2.58
Si (0.9160, 0.7327, 0.4353)  3 Tc 2.47-2.50
Th (0.3259, 0.6682, 0.6801)  6 Si 3.01-3.24, 4 Tc 3.14-3.30
Si (0.0840, 0.2673, 0.5647)  3 Tc 2.47-2.50
Tc (0.6528, 0.0717, 0.6227)  4 Si 2.47-2.58
Th (0.0850, 0.7248, 0.1053)  6 Si 3.02-3.30
Th (0.6741, 0.3318, 0.3199)  6 Si 3.01-3.24, 4 Tc 3.14-3.30
Si (0.6251, 0.8743, 0.8755)  1 Tc 2.58, 1 Si 2.64
Si (0.3749, 0.1257, 0.1245)  1 Tc 2.58, 1 Si 2.64
Th (0.9150, 0.2752, 0.8947)  6 Si 3.02-3.30

Summary:
Space group = C2/m, No. 12
Total moment = 0.00 μB/f.u.

---

Most stable = x)

---

w) Ti3SiTc: optimized geometry, PBE.

Unit cell a=4.5247 b=4.5247 c=4.5247 alpha=90.00 beta=90.00 gamma=90.00
With the nearest neighbours (Å) after each atom.
Sites, in units of the cell vectors:
Ti (0.0000, 0.5000, 0.0000)  2 Si 2.26
Ti (0.0000, 0.0000, 0.5000)  2 Si 2.26
Ti (0.5000, 0.0000, 0.0000)  2 Si 2.26
Tc (0.5000, 0.5000, 0.5000)  12 Ti 3.20
Si (0.0000, 0.0000, 0.0000)  6 Ti 2.26

Summary:
Space group = Pm-3m, No. 221
Total moment = 0.00 μB/f.u.

---

x) Ti3SiTc: optimized geometry, PBE.

Unit cell a=4.6509 b=4.6509 c=4.6509 alpha=90.00 beta=90.00 gamma=90.00
With the nearest neighbours (Å) after each atom.
Sites, in units of the cell vectors:
Ti (0.0000, 0.0000, 0.5000)  2 Tc 2.33
Ti (0.0000, 0.5000, 0.0000)  2 Tc 2.33
Tc (0.0000, 0.0000, 0.0000)  6 Ti 2.33
Si (0.5000, 0.5000, 0.5000)  12 Ti 3.29
Ti (0.5000, 0.0000, 0.0000)  2 Tc 2.33

Summary:
Space group = Pm-3m, No. 221
Total moment = 1.63 μB/f.u.

---

Most stable = x)